Computed, not measured: Ca2Ac3Tl4 after structural relaxation at the PBE level of DFT.

Summary:
M_tot: 0.0 μB/f.u.
DOS(E_F): 8.41 states/eV/f.u.
ΔE to the lowest computed polymorph: 57.8 meV/atom

Geometry as CIF:
```
data_Ca2Ac3Tl4
_chemical_formula_sum 'Ca4 Ac6 Tl8'
_symmetry_space_group_name_H-M 'C 1 2/m 1'
_symmetry_Int_Tables_number 12
_symmetry_space_group_name_Hall '-C 2y'
_cell_length_a 15.455
_cell_length_b 4.058
_cell_length_c 11.463
_cell_angle_alpha 90.00
_cell_angle_beta 114.44
_cell_angle_gamma 90.00
loop_
_atom_site_label
_atom_site_type_symbol
_atom_site_fract_x
_atom_site_fract_y
_atom_site_fract_z
_atom_site_occupancy
Ca1 Ca 0.183 0.000 0.335 1
Ac1 Ac 0.000 0.500 0.000 1
Ac2 Ac 0.106 0.000 0.730 1
Tl1 Tl 0.091 0.500 0.467 1
Tl2 Tl 0.201 0.000 0.068 1
```

Computed, not measured: CaAc4Tl after structural relaxation at the PBE level of DFT.

Summary:
M_tot: 0.0 μB/f.u.
DOS(E_F): 8.68 states/eV/f.u.
Total energy: -3.198 eV/atom

Geometry as CIF:
```
data_CaAc4Tl
_chemical_formula_sum 'Ca4 Ac16 Tl4'
_symmetry_space_group_name_H-M 'F -4 3 m'
_symmetry_Int_Tables_number 216
_symmetry_space_group_name_Hall 'F -4 2 3'
_cell_length_a 10.249
_cell_length_b 10.249
_cell_length_c 10.249
_cell_angle_alpha 90.00
_cell_angle_beta 90.00
_cell_angle_gamma 90.00
loop_
_atom_site_label
_atom_site_type_symbol
_atom_site_fract_x
_atom_site_fract_y
_atom_site_fract_z
_atom_site_occupancy
Ca1 Ca 0.000 0.000 0.000 1
Ac1 Ac 0.124 0.124 0.624 1
Tl1 Tl 0.250 0.250 0.250 1
```

Computed, not measured: CaAc3Tl3 after structural relaxation at the PBE level of DFT.

Summary:
M_tot: 0.9 μB/f.u.
DOS(E_F): 7.12 states/eV/f.u.
Total energy: -3.322 eV/atom

Geometry as CIF:
```
data_CaAc3Tl3
_chemical_formula_sum 'Ca4 Ac12 Tl12'
_symmetry_space_group_name_H-M 'C m m m'
_symmetry_Int_Tables_number 65
_symmetry_space_group_name_Hall '-C 2 2'
_cell_length_a 11.072
_cell_length_b 11.769
_cell_length_c 7.985
_cell_angle_alpha 90.00
_cell_angle_beta 90.00
_cell_angle_gamma 90.00
loop_
_atom_site_label
_atom_site_type_symbol
_atom_site_fract_x
_atom_site_fract_y
_atom_site_fract_z
_atom_site_occupancy
Ca1 Ca 0.000 0.240 0.000 1
Ac1 Ac 0.000 0.245 0.500 1
Ac2 Ac 0.234 0.500 0.000 1
Ac3 Ac 0.237 0.500 0.500 1
Tl1 Tl 0.000 0.000 0.241 1
Tl2 Tl 0.250 0.250 0.234 1
```

Computed, not measured: Ca2AcTl4 after structural relaxation at the PBE level of DFT.

Summary:
M_tot: 0.0 μB/f.u.
DOS(E_F): 6.31 states/eV/f.u.
Total energy: -2.763 eV/atom

Geometry as CIF:
```
data_Ca2AcTl4
_chemical_formula_sum 'Ca6 Ac3 Tl12'
_symmetry_space_group_name_H-M 'R -3 m'
_symmetry_Int_Tables_number 166
_symmetry_space_group_name_Hall '-R 3 2"'
_cell_length_a 5.4443
_cell_length_b 5.4443
_cell_length_c 27.7977
_cell_angle_alpha 90.00
_cell_angle_beta 90.00
_cell_angle_gamma 120.00
loop_
_atom_site_label
_atom_site_type_symbol
_atom_site_fract_x
_atom_site_fract_y
_atom_site_fract_z
_atom_site_occupancy
Ca1 Ca 0.0000 0.0000 0.2438 1
Ac1 Ac 0.0000 0.0000 0.0000 1
Tl1 Tl 0.0000 0.0000 0.1285 1
Tl2 Tl 0.0000 0.0000 0.3884 1
```

Computed, not measured: Ca2AcTl after structural relaxation at the PBE level of DFT.

Summary:
M_tot: 0.0 μB/f.u.
DOS(E_F): 4.98 states/eV/f.u.
ΔE to the lowest computed polymorph: 10.7 meV/atom

Geometry as CIF:
```
data_Ca2AcTl
_chemical_formula_sum 'Ca4 Ac2 Tl2'
_symmetry_space_group_name_H-M 'P 1 21/m 1'
_symmetry_Int_Tables_number 11
_symmetry_space_group_name_Hall '-P 2yb'
_cell_length_a 5.240
_cell_length_b 9.239
_cell_length_c 6.749
_cell_angle_alpha 90.00
_cell_angle_beta 112.78
_cell_angle_gamma 90.00
loop_
_atom_site_label
_atom_site_type_symbol
_atom_site_fract_x
_atom_site_fract_y
_atom_site_fract_z
_atom_site_occupancy
Ca1 Ca 0.149 0.054 0.299 1
Ac1 Ac 0.450 0.250 0.899 1
Tl1 Tl 0.273 0.750 0.547 1
```

Computed, not measured: Ca12Ac3Tl5 after structural relaxation at the PBE level of DFT.

Summary:
M_tot: 0.8 μB/f.u.
DOS(E_F): 25.54 states/eV/f.u.
Total energy: -2.088 eV/atom

Geometry as CIF:
```
data_Ca12Ac3Tl5
_chemical_formula_sum 'Ca96 Ac24 Tl40'
_symmetry_space_group_name_H-M 'I a -3 d'
_symmetry_Int_Tables_number 230
_symmetry_space_group_name_Hall '-I 4bd 2c 3'
_cell_length_a 19.650
_cell_length_b 19.650
_cell_length_c 19.650
_cell_angle_alpha 90.00
_cell_angle_beta 90.00
_cell_angle_gamma 90.00
loop_
_atom_site_label
_atom_site_type_symbol
_atom_site_fract_x
_atom_site_fract_y
_atom_site_fract_z
_atom_site_occupancy
Ca1 Ca 0.039 0.063 0.637 1
Ac1 Ac 0.000 0.250 0.125 1
Tl1 Tl 0.000 0.000 0.000 1
Tl2 Tl 0.000 0.250 0.375 1
```

Computed, not measured: Ca2Ac5Tl4 after structural relaxation at the PBE level of DFT.

Summary:
M_tot: 0.0 μB/f.u.
DOS(E_F): 9.60 states/eV/f.u.
Total energy: -3.260 eV/atom

Geometry as CIF:
```
data_Ca2Ac5Tl4
_chemical_formula_sum 'Ca4 Ac10 Tl8'
_symmetry_space_group_name_H-M 'C 1 2/m 1'
_symmetry_Int_Tables_number 12
_symmetry_space_group_name_Hall '-C 2y'
_cell_length_a 24.237
_cell_length_b 4.081
_cell_length_c 9.359
_cell_angle_alpha 90.00
_cell_angle_beta 112.67
_cell_angle_gamma 90.00
loop_
_atom_site_label
_atom_site_type_symbol
_atom_site_fract_x
_atom_site_fract_y
_atom_site_fract_z
_atom_site_occupancy
Ca1 Ca 0.077 0.000 0.077 1
Ac1 Ac 0.000 0.000 0.500 1
Ac2 Ac 0.159 0.500 0.449 1
Ac3 Ac 0.160 0.500 0.871 1
Tl1 Tl 0.000 0.500 0.209 1
Tl2 Tl 0.216 0.000 0.217 1
```

Computed, not measured: Ca3Ac2Tl4 after structural relaxation at the PBE level of DFT.

Summary:
M_tot: 0.0 μB/f.u.
DOS(E_F): 7.81 states/eV/f.u.
ΔE to the lowest computed polymorph: 0.0 meV/atom

Geometry as CIF:
```
data_Ca3Ac2Tl4
_chemical_formula_sum 'Ca6 Ac4 Tl8'
_symmetry_space_group_name_H-M 'C 1 2/m 1'
_symmetry_Int_Tables_number 12
_symmetry_space_group_name_Hall '-C 2y'
_cell_length_a 9.772
_cell_length_b 5.637
_cell_length_c 11.005
_cell_angle_alpha 90.00
_cell_angle_beta 90.11
_cell_angle_gamma 90.00
loop_
_atom_site_label
_atom_site_type_symbol
_atom_site_fract_x
_atom_site_fract_y
_atom_site_fract_z
_atom_site_occupancy
Ca1 Ca 0.000 0.000 0.000 1
Ca2 Ca 0.166 0.500 0.582 1
Ac1 Ac 0.167 0.500 0.207 1
Tl1 Tl 0.001 0.000 0.349 1
Tl2 Tl 0.167 0.500 0.896 1
```

Question: The highest DOS(E_F) belongs to which entry?
Answer: Ca12Ac3Tl5